--- 1 ---
# BIrW3 (PBE-GGA, relaxed)
# Calculated volume   14.43 Å³ per atom
data_BIrW3
_space_group_name_H-M_alt 'P m -3 m'
_space_group_IT_number 221
_space_group_name_Hall '-P 4 2 3'
_cell_length_a 4.1634
_cell_length_b 4.1634
_cell_length_c 4.1634
_cell_angle_alpha 90.00
_cell_angle_beta 90.00
_cell_angle_gamma 90.00
loop_
_atom_site_label
_atom_site_fract_x
_atom_site_fract_y
_atom_site_fract_z
B1 0.0000 0.0000 0.0000
Ir1 0.5000 0.5000 0.5000
W1 0.0000 0.0000 0.5000

---

--- 2 ---
# BIrW3 (PBE-GGA, relaxed)
# Calculated volume   21.31 Å³ per atom
data_BIrW3
_space_group_name_H-M_alt 'P m -3 m'
_space_group_IT_number 221
_space_group_name_Hall '-P 4 2 3'
_cell_length_a 4.7406
_cell_length_b 4.7406
_cell_length_c 4.7406
_cell_angle_alpha 90.00
_cell_angle_beta 90.00
_cell_angle_gamma 90.00
loop_
_atom_site_label
_atom_site_fract_x
_atom_site_fract_y
_atom_site_fract_z
B1 0.0000 0.0000 0.0000
Ir1 0.5000 0.5000 0.5000
W1 0.0000 0.5000 0.5000

---

Comparing the structures above, 1 comes out on top by 2673 meV per atom.